[1]
The following is a DFT calculation (GGA-PBE) of a relaxed Sr2AlGa3Pd4 crystal.

Properties
Crystal system ... tetragonal
ΔH_f (0 K) ... -737.5 meV per atom
Final energy ... -44.3 eV for the cell shown
Calculated density ... 6.8 g cm⁻³
Total moment ... 0.0000 μB per atom

The structure in POSCAR format:
```
Sr2AlGa3Pd4
1.0
4.4423 0.0000 0.0000
0.0000 4.4423 0.0000
0.0000 0.0000 10.3513
Sr Al Ga Pd
2 1 3 4
Cartesian
0.0000 2.2211 2.5264
2.2211 0.0000 7.8249
0.0000 0.0000 5.1756
0.0000 2.2211 9.0810
2.2211 0.0000 1.2702
2.2211 2.2211 5.1756
0.0000 0.0000 0.0000
0.0000 2.2211 6.4989
2.2211 0.0000 3.8523
2.2211 2.2211 0.0000
```

---

[2]
The following is a DFT calculation (GGA-PBE) of a relaxed SrAlGa2Pd crystal.

Properties
Crystal system ... tetragonal
ΔH_f (0 K) ... -555.1 meV per atom
Final energy ... -19.4 eV for the cell shown
Calculated density ... 5.8 g cm⁻³
Total moment ... 0.0000 μB per atom

The structure in POSCAR format:
```
SrAlGa2Pd
1.0
-2.1593 2.1593 5.5470
2.1593 -2.1593 5.5470
2.1593 2.1593 -5.5470
Sr Al Ga Pd
1 1 2 1
Cartesian
0.0000 0.0000 0.0000
0.0000 2.1593 2.7735
0.0000 0.0000 4.2287
0.0000 0.0000 6.8654
2.1593 0.0000 2.7735
```

---

[3]
The following is a DFT calculation (GGA-PBE) of a relaxed Sr2Al6GaPd crystal.

Properties
Crystal system ... triclinic
ΔH_f (0 K) ... -320.9 meV per atom
Final energy ... -37.2 eV for the cell shown
Calculated density ... 3.8 g cm⁻³
Total moment ... 0.0000 μB per atom

The structure in POSCAR format:
```
Sr2Al6GaPd
1.0
6.6355 0.0000 0.0000
3.2749 5.7856 0.0000
3.2595 1.8018 5.8683
Sr Al Ga Pd
2 6 1 1
Cartesian
3.3001 1.8724 2.5228
9.8699 5.7150 3.3455
6.0383 5.2089 5.1945
5.5624 2.5447 5.1703
5.0787 4.1571 0.6961
8.0913 3.4303 5.1722
7.6076 5.0428 0.6980
7.1317 2.3785 0.6739
6.5850 3.7937 2.9342
0.0000 0.0000 0.0000
```

---

[4]
The following is a DFT calculation (GGA-PBE) of a relaxed SrAlGaPd crystal.

Properties
Crystal system ... trigonal
ΔH_f (0 K) ... -571.8 meV per atom
Final energy ... -15.9 eV for the cell shown
Calculated density ... 5.2 g cm⁻³
Total moment ... 0.0003 μB per atom

The structure in POSCAR format:
```
SrAlGaPd
1.0
2.1838 1.2608 5.6566
-2.1838 1.2608 5.6566
0.0000 -2.5216 5.6566
Sr Al Ga Pd
1 1 1 1
Cartesian
0.0000 0.0000 0.0000
0.0000 0.0000 3.3565
0.0000 0.0000 13.5510
0.0000 0.0000 8.6011
```

---

[5]
The following is a DFT calculation (GGA-PBE) of a relaxed SrAlGa2Pd4 crystal.

Properties
Crystal system ... trigonal
ΔH_f (0 K) ... -719.2 meV per atom
Final energy ... -38.0 eV for the cell shown
Calculated density ... 7.6 g cm⁻³
Total moment ... 0.0000 μB per atom

The structure in POSCAR format:
```
SrAlGa2Pd4
1.0
2.1689 1.2522 9.1097
-2.1689 1.2522 9.1097
0.0000 -2.5044 9.1097
Sr Al Ga Pd
1 1 2 4
Cartesian
0.0000 0.0000 0.0000
0.0000 0.0000 13.6645
0.0000 0.0000 6.5623
0.0000 0.0000 20.7666
0.0000 0.0000 3.7491
0.0000 0.0000 11.2035
0.0000 0.0000 16.1254
0.0000 0.0000 23.5799
```

---

[6]
The following is a DFT calculation (GGA-PBE) of a relaxed TbAlGaPd crystal.

Properties
Crystal system ... monoclinic
Polymorph energy (0 for the lowest one) ... 0.0 meV per atom
ΔH_f (0 K) ... -707.3 meV per atom
Final energy ... -19.4 eV for the cell shown
Calculated density ... 7.5 g cm⁻³
Total moment ... 0.0000 μB per atom

The structure in POSCAR format:
```
TbAlGaPd
1.0
3.7661 -2.1700 0.0000
3.7661 2.1700 0.0000
-2.5186 0.0000 4.9301
Tb Al Ga Pd
1 1 1 1
Cartesian
0.0000 0.0000 0.0000
2.5080 0.0000 2.0707
-0.0088 0.0000 3.1842
5.0161 0.0000 1.9398
```